Crystalline CaInCu2 at its relaxed geometry, computed with PBE.

Lattice parameters (Å, degrees): 3.8294 4.2043 5.3792 90.00 110.58 90.00
Positions (direct):
Ca (0.0000, 0.0000, 0.0000)
In (0.2970, 0.5000, 0.5962)
Cu (0.5905, 0.5000, 0.1816)
Cu (0.7175, 0.0000, 0.4392)

size of the total moment = 0.00 μB per cell
DFT formation energy = -126.5 meV per atom